1.
A relaxed Tl2PdPt crystal. Source: the Alexandria database, functional PBE.

Calculated values
Its energy above the lowest structure with this stoichiometry is 54 meV per atom. The calculation puts the total magnetization at 0.00 μB per cell. The energy relative to the elements comes out at -0.005 eV/atom. Its total energy is -15.99 eV/cell.

Cell: 3.408 3.408 6.777 Å, 90.00 90.00 90.00°
Space group P4/mmm (No. 123)
Symmetry-distinct sites (fractional):
Tl1 0.000 0.000 0.249 [2 per cell]
Pd1 0.500 0.500 0.500 [1 per cell]
Pt1 0.500 0.500 0.000 [1 per cell]



2.
A relaxed Cs3NpCu2I9 crystal. Source: the Alexandria database, functional PBE.

Calculated values
As for the uncorrected formation energy: -13.6 eV/f.u. The calculation puts the total magnetization at 3.10 μB per cell. Its total energy is -51.21 eV/cell.

Cell: 8.6970 8.6970 10.8414 Å, 90.00 90.00 120.00°
Space group P-3m1 (No. 164)
Symmetry-distinct sites (fractional):
Cs1 0.0000 0.0000 0.0000 [1 per cell]
Cs2 0.3333 0.6667 0.6409 [2 per cell]
Np1 0.0000 0.0000 0.5000 [1 per cell]
Cu1 0.3333 0.6667 0.0226 [2 per cell]
I1 0.0000 0.5000 0.0000 [3 per cell]
I2 0.1636 0.3271 0.3392 [6 per cell]



3.
A relaxed LiPmInGe crystal. Source: the Alexandria database, functional PBE.

Calculated values
The calculation puts the total magnetization at 0.00 μB per cell. The energy relative to the elements comes out at -0.365 eV/atom. Its total energy is -61.92 eV/cell.

Cell: 7.181 7.181 7.181 Å, 90.00 90.00 90.00°
Space group F-43m (No. 216)
Symmetry-distinct sites (fractional):
Li1 0.000 0.000 0.000 [4 per cell]
Pm1 0.000 0.000 0.500 [4 per cell]
In1 0.250 0.250 0.750 [4 per cell]
Ge1 0.250 0.250 0.250 [4 per cell]



4.
A relaxed Nd8Dy4Er3 crystal. Source: the Alexandria database, functional PBE.

Calculated values
Its energy above the lowest structure with this stoichiometry is 183 meV per atom. The calculation puts the total magnetization at 0.00 μB per cell. The energy relative to the elements comes out at 0.336 eV/atom. Its total energy is -130.39 eV/cell.

Cell: 13.779 12.189 6.895 Å, 90.00 118.14 90.00°
Space group C2/m (No. 12)
Symmetry-distinct sites (fractional):
Nd1 0.000 0.205 0.000 [4 per cell]
Nd2 0.000 0.253 0.500 [4 per cell]
Nd3 0.203 0.000 0.176 [4 per cell]
Nd4 0.245 0.500 0.286 [4 per cell]
Dy1 0.000 0.500 0.000 [2 per cell]
Dy2 0.000 0.500 0.500 [2 per cell]
Dy3 0.250 0.250 0.000 [4 per cell]
Er1 0.000 0.000 0.500 [2 per cell]
Er2 0.250 0.250 0.500 [4 per cell]



5.
A relaxed Sc2BeSi crystal. Source: the Alexandria database, functional PBE.

Calculated values
As for the uncorrected formation energy: -0.1 eV/f.u. Its energy above the lowest structure with this stoichiometry is 466 meV per atom. The calculation puts the total magnetization at 0.00 μB per cell. Its total energy is -65.86 eV/cell.

Cell: 3.2868 3.2868 23.7627 Å, 90.00 90.00 120.00°
Space group R-3m (No. 166, hexagonal axes)
Symmetry-distinct sites (fractional):
Sc1 0.0000 0.0000 0.2475 [6 per cell]
Be1 0.0000 0.0000 0.5000 [3 per cell]
Si1 0.0000 0.0000 0.0000 [3 per cell]



6.
A relaxed AcNd3 crystal. Source: the Alexandria database, functional PBE.

Calculated values
The calculation puts the total magnetization at 0.06 μB per cell. The energy relative to the elements comes out at 0.138 eV/atom. Its total energy is -71.43 eV/cell.

Cell: 8.447 8.447 8.447 Å, 90.00 90.00 90.00°
Space group Fm-3m (No. 225)
Symmetry-distinct sites (fractional):
Ac1 0.000 0.000 0.000 [4 per cell]
Nd1 0.000 0.000 0.500 [4 per cell]
Nd2 0.250 0.250 0.250 [8 per cell]



7.
A relaxed CdAsCl2 crystal. Source: the Alexandria database, functional PBE.

Calculated values
As for the uncorrected formation energy: -1.3 eV/f.u. Its energy above the lowest structure with this stoichiometry is 88 meV per atom. The calculation puts the total magnetization at 0.00 μB per cell. Its total energy is -21.03 eV/cell.

Cell: 5.654 12.582 3.634 Å, 90.00 90.00 90.00°
Space group Cmmm (No. 65)
Symmetry-distinct sites (fractional):
Cd1 0.000 0.000 0.000 [2 per cell]
As1 0.000 0.500 0.000 [2 per cell]
Cl1 0.000 0.358 0.500 [4 per cell]



8.
A relaxed Hf2Zn3Cu2 crystal. Source: the Alexandria database, functional PBE.

Calculated values
Its energy above the lowest structure with this stoichiometry is 30 meV per atom. The calculation puts the total magnetization at 0.00 μB per cell. The energy relative to the elements comes out at -0.081 eV/atom. Its total energy is -129.96 eV/cell.

Cell: 3.411 17.873 7.439 Å, 90.00 90.00 90.00°
Space group Cmcm (No. 63)
Symmetry-distinct sites (fractional):
Hf1 0.000 0.058 0.250 [4 per cell]
Hf2 0.000 0.160 0.750 [4 per cell]
Zn1 0.000 0.217 0.250 [4 per cell]
Zn2 0.000 0.441 0.076 [8 per cell]
Cu1 0.000 0.307 0.529 [8 per cell]



9.
A relaxed CeHo2Hg4 crystal. Source: the Alexandria database, functional PBE.

Calculated values
Its energy above the lowest structure with this stoichiometry is 0 meV per atom. The calculation puts the total magnetization at 1.18 μB per cell. The energy relative to the elements comes out at -0.264 eV/atom. Its total energy is -18.15 eV/cell.

Cell: 5.235 5.235 7.212 Å, 90.00 90.00 90.00°
Space group P4/mmm (No. 123)
Symmetry-distinct sites (fractional):
Ce1 0.000 0.000 0.000 [1 per cell]
Ho1 0.000 0.000 0.500 [1 per cell]
Ho2 0.500 0.500 0.000 [1 per cell]
Hg1 0.000 0.500 0.269 [4 per cell]



10.
A relaxed Pm4Pb2I5 crystal. Source: the Alexandria database, functional PBE.

Calculated values
As for the uncorrected formation energy: -6.3 eV/f.u. The calculation puts the total magnetization at 0.00 μB per cell. Its total energy is -80.95 eV/cell.

Cell: 3.866 8.787 25.111 Å, 90.00 90.00 90.00°
Space group Immm (No. 71)
Symmetry-distinct sites (fractional):
Pm1 0.000 0.000 0.113 [4 per cell]
Pm2 0.000 0.299 0.500 [4 per cell]
Pb1 0.000 0.000 0.251 [4 per cell]
I1 0.000 0.223 0.374 [8 per cell]
I2 0.000 0.500 0.000 [2 per cell]



11.
A relaxed La2RhPb crystal. Source: the Alexandria database, functional PBE.

Calculated values
The calculation puts the total magnetization at 0.00 μB per cell. The energy relative to the elements comes out at -0.485 eV/atom. Its total energy is -22.85 eV/cell.

Cell: 5.078 5.078 4.231 Å, 90.00 90.00 90.00°
Space group P4/mmm (No. 123)
Symmetry-distinct sites (fractional):
La1 0.000 0.500 0.000 [2 per cell]
Rh1 0.000 0.000 0.500 [1 per cell]
Pb1 0.500 0.500 0.500 [1 per cell]



12.
A relaxed Sr2CaGa3Ag12 crystal. Source: the Alexandria database, functional PBE.

Calculated values
The calculation puts the total magnetization at 0.00 μB per cell. The energy relative to the elements comes out at 0.162 eV/atom. Its total energy is -137.26 eV/cell.

Cell: 8.9306 8.9306 20.2061 Å, 90.00 90.00 120.00°
Space group R-3m (No. 166, hexagonal axes)
Symmetry-distinct sites (fractional):
Sr1 0.0000 0.0000 0.0998 [6 per cell]
Ca1 0.0000 0.0000 0.5000 [3 per cell]
Ga1 0.0000 0.5000 0.0000 [9 per cell]
Ag1 0.0198 0.5099 0.3556 [18 per cell]
Ag2 0.0356 0.5178 0.8721 [18 per cell]



Please write out number 3 again, unchanged.
A relaxed LiPmInGe crystal. Source: the Alexandria database, functional PBE.

Calculated values
The calculation puts the total magnetization at 0.00 μB per cell. The energy relative to the elements comes out at -0.365 eV/atom. Its total energy is -61.92 eV/cell.

Cell: 7.181 7.181 7.181 Å, 90.00 90.00 90.00°
Space group F-43m (No. 216)
Symmetry-distinct sites (fractional):
Li1 0.000 0.000 0.000 [4 per cell]
Pm1 0.000 0.000 0.500 [4 per cell]
In1 0.250 0.250 0.750 [4 per cell]
Ge1 0.250 0.250 0.250 [4 per cell]



Question: Which formula does entry 8 have?
Answer: Hf2Zn3Cu2